(1)
Computed, not measured: an optimized crystal structure of K2Tl2Hg7 at the PBE-GGA level of DFT.

Cell and atoms, written as POSCAR:
```
K2Tl2Hg7
1.0
6.0124 -5.4514 0.0000
6.0124 5.4514 0.0000
-1.6070 0.0000 5.2853
K Tl Hg
2 2 7
Cartesian
6.0124 3.1406 0.0000
6.0124 -3.1406 0.0000
2.8808 0.0000 0.9767
7.5370 0.0000 4.3086
-0.8035 0.0000 2.6427
1.4370 1.9500 3.6858
1.4370 -1.9500 3.6858
4.1847 0.0000 3.8043
6.2331 0.0000 1.4810
8.9808 1.9500 1.5996
8.9808 -1.9500 1.5996
```

## Properties
The value obtained for the calculated density is 9.06 g cm⁻³. The final energy is -0.95 eV per atom. Its crystal system is monoclinic. Its space-group type is C2/m. For the density of states at the Fermi level, the calculation gives 0.36 states/eV/atom. The formation energy is -0.1233 eV per atom. The value obtained for the magnetization is 0.00 μB per cell.



(2)
Computed, not measured: an optimized crystal structure of KTl6Hg6 at the PBE-GGA level of DFT.

Cell and atoms, written as POSCAR:
```
KTl6Hg6
1.0
3.3663 -5.8404 0.0000
3.3663 5.8404 0.0000
0.0000 0.0000 10.4313
K Tl Hg
1 6 6
Cartesian
0.0000 0.0000 0.0000
1.6831 2.9202 2.6383
1.6831 2.9202 7.7931
1.6831 -2.9202 2.6383
1.6831 -2.9202 7.7931
3.3663 0.0000 2.6394
3.3663 0.0000 7.7919
0.0000 0.0000 3.6814
0.0000 0.0000 6.7499
3.3663 1.9450 0.0000
3.3663 1.9453 5.2157
3.3663 -1.9450 0.0000
3.3663 -1.9453 5.2157
```

## Properties
The value obtained for the calculated density is 10.00 g cm⁻³. The final energy is -1.34 eV per atom. Its crystal system is orthorhombic. Its space-group type is Cmmm. For the density of states at the Fermi level, the calculation gives 0.49 states/eV/atom. The formation energy is -0.0224 eV per atom. Its excess energy over the best structure of this formula in the dataset is 21 meV per atom. The value obtained for the magnetization is 0.00 μB per cell.



- Among the records above, which one has the highest final energy?
  K2Tl2Hg7



- Among the records above, which one has the highest final energy?
  K2Tl2Hg7